Record 1
NdY6Tm8 PBE-GGA relaxed; M_tot = 0.00 μB per cell; excess energy over the best structure of this formula in the dataset = 0.099 eV/atom; calculated density = 6.839 g cm⁻³; symmetry = No. 147
1.0
6.404 0.000 0.000
0.000 8.162 -4.713
0.000 0.000 9.425
Tm Y Nd
8 6 1
Cartesian
0.568 0.182 6.353
5.837 7.981 -1.640
5.837 2.752 -1.379
0.568 2.570 1.694
5.452 2.721 4.713
5.837 5.593 3.019
0.952 5.442 0.000
0.568 5.411 6.091
2.649 0.865 3.477
3.755 7.298 1.236
2.649 4.719 3.723
2.649 2.579 6.938
3.755 3.443 0.990
3.755 5.584 -2.225
3.202 0.000 0.000

Record 2
Mn4InCo PBE-GGA relaxed; M_tot = 7.74 μB per cell; calculated density = 8.345 g cm⁻³; symmetry = No. 216; DFT total energy = -0.54678 Ry/atom
1.0
-1.950 2.538 3.580
-1.144 4.615 -0.673
-4.611 1.322 -0.228
In Mn Co
1 4 1
Cartesian
0.000 0.000 0.000
-5.194 3.839 0.891
-3.864 4.447 2.795
-2.889 3.178 1.005
-3.461 5.486 0.668
-5.778 6.356 2.009